No. 1
BeInS2Cl at its PBEsol-relaxed geometry, computed with SCAN.

a b c (Å): 4.334 4.469 4.469
angles (deg): 90.00 90.00 90.00
Element x y z (fractional)
Be 0.000 0.000 0.000
S 0.000 0.000 0.500
S 0.000 0.500 0.000
Cl 0.500 0.000 0.000
In 0.500 0.500 0.500

Computed properties:
Uncorrected formation energy   -226 meV/atom

=====

No. 2
BeIrCl2 at its PBEsol-relaxed geometry, computed with SCAN.

a b c (Å): 2.986 2.986 10.554
angles (deg): 81.87 81.87 60.00
Last column: magnetic moment on the atom in μB.
Element x y z (fractional)
Be 0.000 0.000 0.000  0.00
Ir 0.500 0.500 0.500  1.11
Cl 0.943 0.943 0.171  0.00
Cl 0.057 0.057 0.829  0.00

Computed properties:
Uncorrected formation energy   438 meV/atom
Offset from the most stable computed form   63.2 kJ per mole of atoms

=====

No. 3
BeIr2Cl at its PBEsol-relaxed geometry, computed with SCAN.

a b c (Å): 2.752 3.999 5.537
angles (deg): 111.17 104.39 90.00
Element x y z (fractional)
Be 0.500 0.000 0.000
Ir 0.803 0.803 0.606
Ir 0.197 0.197 0.394
Cl 0.000 0.500 0.000

Computed properties:
Uncorrected formation energy   309 meV/atom
Offset from the most stable computed form   0.0 kJ per mole of atoms

=====

No. 4
BeIr2Cl at its PBEsol-relaxed geometry, computed with SCAN.

a b c (Å): 2.763 3.984 5.199
angles (deg): 89.96 105.41 90.00
Element x y z (fractional)
Be 0.527 0.627 0.054
Ir 0.984 0.126 0.968
Ir 0.255 0.124 0.510
Cl 0.734 0.624 0.468

Computed properties:
Uncorrected formation energy   444 meV/atom
Offset from the most stable computed form   13.1 kJ per mole of atoms

=====

DFT total energy? In order: -13.22; -22.41; -38.32; -38.19 eV/atom.
Ρ? In order: 4286; 5620; 13002; 12907 kg/m³.
Calculated volume? In order: 17.3; 20.1; 13.7; 13.8 Å³ per atom.